# La3DyHg4 (GGA-PBE, relaxed)
# - Formation enthalpy at 0 K: -0.49 eV per atom
# - Crystal system: tetragonal
data_La3DyHg4
_cell_length_a 3.8331
_cell_length_b 3.8331
_cell_length_c 15.6910
_cell_angle_alpha 90.00
_cell_angle_beta 90.00
_cell_angle_gamma 90.00
_symmetry_space_group_name_H-M 'P 1'
_symmetry_Int_Tables_number 1
loop_
_symmetry_equiv_pos_as_xyz
'x,y,z'
loop_
_atom_site_label
_atom_site_type_symbol
_atom_site_fract_x
_atom_site_fract_y
_atom_site_fract_z
La1 La 0.0000 0.0000 0.0000
La2 La 0.0000 0.0000 0.2573
La3 La 0.0000 0.0000 0.7427
Dy1 Dy 0.0000 0.0000 0.5000
Hg1 Hg 0.5000 0.5000 0.1272
Hg2 Hg 0.5000 0.5000 0.3901
Hg3 Hg 0.5000 0.5000 0.6099
Hg4 Hg 0.5000 0.5000 0.8728